Record 1
Density functional theory data (GGA-PBE) for an optimized crystal structure of Sm3ZrIn3Se8.

Unit cell a=9.0939 b=9.0939 c=9.0939 alpha=54.21 beta=54.21 gamma=54.21
Last column: nearest neighbours and their distance in Å.
Atoms (fractional coordinates):
Sm 0.0000 0.5000 0.5000  6 Se 2.92-2.94
Sm 0.5000 0.0000 0.5000  6 Se 2.92-2.94
Sm 0.5000 0.5000 0.0000  6 Se 2.92-2.94
Zr 0.0000 0.0000 0.0000  6 Se 2.76
In 0.0000 0.0000 0.5000  6 Se 3.24-3.25
In 0.0000 0.5000 0.0000  6 Se 3.24-3.25
In 0.5000 0.0000 0.0000  6 Se 3.24-3.25
Se 0.2253 0.2253 0.7563  1 Zr 2.76, 2 Sm 2.94
Se 0.2253 0.7563 0.2253  1 Zr 2.76, 2 Sm 2.94
Se 0.2437 0.7747 0.7747  1 Zr 2.76, 2 Sm 2.94
Se 0.2615 0.2615 0.2615  3 Sm 2.92, 3 In 3.25
Se 0.7385 0.7385 0.7385  3 Sm 2.92, 3 In 3.25
Se 0.7563 0.2253 0.2253  1 Zr 2.76, 2 Sm 2.94
Se 0.7747 0.2437 0.7747  1 Zr 2.76, 2 Sm 2.94
Se 0.7747 0.7747 0.2437  1 Zr 2.76, 2 Sm 2.94

Summary:
Uncorrected formation energy in meV/atom: -1306
DOS(E_F) in states/eV/atom: 0.013
Crystal system: trigonal
Total magnetic moment in μB per formula unit: 0.00

Record 2
Density functional theory data (GGA-PBE) for an optimized crystal structure of Li2Zn2Pd3.

Unit cell a=6.1689 b=6.1689 c=6.5654 alpha=111.22 beta=111.22 gamma=26.29
Last column: nearest neighbours and their distance in Å.
Atoms (fractional coordinates):
Li 0.1364 0.1364 0.4215  4 Pd 2.60-2.66, 4 Zn 2.79-2.80, 4 Li 2.81-2.90
Li 0.8636 0.8636 0.5785  4 Pd 2.60-2.66, 4 Zn 2.79-2.80, 4 Li 2.81-2.90
Zn 0.4188 0.4188 0.2612  5 Pd 2.62-2.70, 4 Li 2.79-2.80, 2 Zn 2.81
Zn 0.5812 0.5812 0.7388  5 Pd 2.62-2.70, 4 Li 2.79-2.80, 2 Zn 2.81
Pd 0.0000 0.0000 0.0000  2 Li 2.64, 4 Zn 2.67, 6 Pd 2.81-2.85
Pd 0.2780 0.2780 0.8317  3 Li 2.60-2.66, 3 Zn 2.62-2.70, 6 Pd 2.81-2.90
Pd 0.7220 0.7220 0.1683  3 Li 2.60-2.66, 3 Zn 2.62-2.70, 6 Pd 2.81-2.90

Summary:
Energy relative to the lowest polymorph listed for this composition in meV/atom: 33
DOS(E_F) in states/eV/atom: 0.379
Crystal system: monoclinic
ΔE_f in eV/atom: -0.3918
Total magnetic moment in μB per formula unit: 0.00

Record 3
Density functional theory data (GGA-PBE) for an optimized crystal structure of CdMo2Os.

Unit cell a=5.4016 b=5.4016 c=5.4016 alpha=147.05 beta=128.68 gamma=62.35
Last column: nearest neighbours and their distance in Å.
Atoms (fractional coordinates):
Cd 0.0000 0.0000 0.0000  6 Mo 2.80-2.96, 2 Os 2.89, 2 Cd 3.06
Mo 0.2742 0.7742 0.5000  2 Mo 2.63, 4 Os 2.82
Mo 0.5053 0.5053 0.0000  2 Os 2.61, 2 Mo 2.63, 4 Cd 2.80
Os 0.7344 0.2344 0.5000  6 Mo 2.61-2.82, 2 Cd 2.89

Summary:
DOS(E_F) in states/eV/atom: 0.934
Crystal system: orthorhombic
ΔE_f in eV/atom: 0.4487
Total magnetic moment in μB per formula unit: 0.00

Record 4
Density functional theory data (GGA-PBE) for an optimized crystal structure of TaBiAs3.

Unit cell a=5.2292 b=5.2292 c=5.2292 alpha=90.00 beta=90.00 gamma=90.00
Last column: nearest neighbours and their distance in Å.
Atoms (fractional coordinates):
Ta 0.0000 0.0000 0.0000  12 As 3.70
Bi 0.5000 0.5000 0.5000  6 As 2.61
As 0.0000 0.5000 0.5000  2 Bi 2.61
As 0.5000 0.0000 0.5000  2 Bi 2.61
As 0.5000 0.5000 0.0000  2 Bi 2.61

Summary:
Energy relative to the lowest polymorph listed for this composition in meV/atom: 1478
DOS(E_F) in states/eV/atom: 1.217
Crystal system: cubic
ΔE_f in eV/atom: 1.8049
Total magnetic moment in μB per formula unit: 0.00

| no. | total energy (eV/cell) |
| --- | --- |
| 1 | -78.391 |
| 2 | -24.696 |
| 3 | -32.012 |
| 4 | -20.658 |